Entry from the Alexandria database: an optimized crystal structure of NbRu (GGA-PBE).

Cell: 5.195 4.987 10.282 Å, 90.00 90.00 90.00°
Fractional positions:
Ru  0.142  0.391  0.481
Nb  0.632  0.615  0.446
Nb  0.132  0.885  0.554
Nb  0.154  0.610  0.237
Nb  0.368  0.115  0.054
Ru  0.858  0.891  0.019
Nb  0.654  0.890  0.763
Ru  0.358  0.609  0.981
Ru  0.642  0.109  0.519
Ru  0.145  0.919  0.803
Ru  0.645  0.581  0.197
Ru  0.855  0.419  0.697
Ru  0.355  0.081  0.303
Nb  0.868  0.385  0.946
Nb  0.346  0.390  0.737
Nb  0.846  0.110  0.263

Results
Symmetry = No. 19
Energy of formation from the pure elements = -0.12 eV per atom

=====

Entry from the Alexandria database: an optimized crystal structure of KMgP2 (GGA-PBE).

Cell: 5.632 5.632 5.632 Å, 135.83 135.83 64.25°
Fractional positions:
K  0.500  0.500  0.000
P  0.250  0.750  0.500
Mg  0.750  0.250  0.500
P  0.000  0.000  0.000

Results
Symmetry = No. 119
Energy of formation from the pure elements = 0.32 eV per atom

=====

Entry from the Alexandria database: an optimized crystal structure of Cs2SrCuCl6 (GGA-PBE).

Cell: 5.558 5.558 10.308 Å, 90.00 90.00 90.00°
Fractional positions:
Cl  0.500  0.500  0.284
Cu  0.500  0.500  0.500
Cl  0.500  0.500  0.716
Cs  0.000  0.000  0.724
Cl  0.500  0.000  0.000
Sr  0.500  0.500  0.000
Cl  0.000  0.500  0.000
Cl  0.500  0.000  0.500
Cs  0.000  0.000  0.276
Cl  0.000  0.500  0.500

Results
Raw formation energy = -16.62 eV/f.u.
Symmetry = No. 123
Offset from the most stable computed form = 0.9 kJ/mol of atoms

=====

Entry from the Alexandria database: an optimized crystal structure of TiRePt2W (GGA-PBE).

Cell: 4.829 4.698 4.829 Å, 90.00 90.00 90.00°
Fractional positions:
Pt  0.000  0.000  0.500
Pt  0.500  0.000  0.000
Re  0.000  0.500  0.000
W  0.000  0.000  0.000
Ti  0.500  0.500  0.500

Results
Symmetry = No. 123
Energy of formation from the pure elements = 1.36 eV per atom

=====

Entry from the Alexandria database: an optimized crystal structure of InSnBPb2 (GGA-PBE).

Cell: 6.079 4.102 6.079 Å, 90.00 90.00 90.00°
Fractional positions:
Pb  0.500  0.000  0.000
Pb  0.000  0.000  0.500
B  0.000  0.500  0.000
In  0.000  0.000  0.000
Sn  0.500  0.500  0.500

Results
Symmetry = No. 123
Energy of formation from the pure elements = 0.87 eV per atom

=====

Ρ: 9.7 2.4 3.3 12.2 7.2 (g/cm³)